Here is an optimized crystal structure of CuBSe2 from the Alexandria database. Energies are from PBE.

## Properties
Its formation energy from raw total energies is 45 meV per atom. Its total magnetization is 0.000 μB/f.u. Its density of states at the Fermi level is 0.00 states/eV per atom.

abc: 15.8828 6.7627 8.2762
angles: 90.00 152.08 90.00
Element x y z (fractional)
Se 0.8640 0.2313 0.1084
Se 0.1360 0.7687 0.8916
Se 0.3640 0.2687 0.6084
Se 0.4045 0.2192 0.1805
Se 0.6360 0.7313 0.3916
Se 0.9045 0.2808 0.6805
Se 0.0955 0.7192 0.3195
Se 0.5955 0.7808 0.8195
B 0.3571 0.7210 0.3686
B 0.6429 0.2789 0.6314
B 0.1429 0.2210 0.1314
B 0.8571 0.7790 0.8686
Cu 0.6613 0.9565 0.6606
Cu 0.3387 0.0435 0.3394
Cu 0.1613 0.5435 0.1606
Cu 0.8387 0.4565 0.8394